PBE-GGA Ag3Hg2Pd4, relaxed; SG = P-1; E above lowest polymorph = 0 meV per atom; formation energy = -0.098 eV per atom; energy = -3.4235 eV per atom
1.0
4.137 0.000 0.000
2.067 4.485 0.000
0.024 2.426 8.414
Ag Hg Pd
3 2 4
Direct
0.000 0.000 0.000
0.338 0.325 0.445
0.662 0.675 0.555
0.330 0.340 0.781
0.670 0.660 0.219
0.004 0.993 0.334
0.336 0.328 0.113
0.664 0.672 0.887
0.996 0.007 0.666

PBE-GGA Pm15NdDy4, relaxed; SG = P4/mmm; formation energy = 0.015 eV per atom; energy = -4.7072 eV per atom
1.0
5.137 0.000 0.000
0.000 5.137 0.000
0.000 0.000 25.625
Pm Nd Dy
15 1 4
Direct
0.000 0.000 0.000
0.000 0.000 0.201
0.000 0.000 0.400
0.000 0.000 0.600
0.000 0.000 0.799
0.000 0.500 0.101
0.000 0.500 0.301
0.000 0.500 0.500
0.000 0.500 0.699
0.000 0.500 0.899
0.500 0.000 0.101
0.500 0.000 0.301
0.500 0.000 0.500
0.500 0.000 0.699
0.500 0.000 0.899
0.500 0.500 0.000
0.500 0.500 0.201
0.500 0.500 0.400
0.500 0.500 0.600
0.500 0.500 0.799

PBE-GGA PaSb2PbN, relaxed; SG = P4/nmm; E_form (uncorrected) = -659 meV/atom; energy = -6.6142 eV per atom
1.0
3.965 0.000 0.000
0.000 3.965 0.000
0.000 0.000 17.111
Pa Sb Pb N
2 4 2 2
Direct
0.250 0.250 0.068
0.750 0.750 0.932
0.250 0.250 0.446
0.250 0.250 0.830
0.750 0.750 0.170
0.750 0.750 0.554
0.250 0.250 0.652
0.750 0.750 0.348
0.250 0.750 0.000
0.750 0.250 0.000

PBE-GGA Y2Pd3Pt3, relaxed; SG = Pmmm; formation energy = -0.924 eV per atom; energy = -6.7522 eV per atom
1.0
4.127 0.000 0.000
0.000 4.155 0.000
0.000 0.000 8.214
Y Pd Pt
2 3 3
Direct
0.000 0.000 0.250
0.000 0.000 0.750
0.000 0.500 0.000
0.500 0.000 0.000
0.500 0.000 0.500
0.000 0.500 0.500
0.500 0.500 0.250
0.500 0.500 0.750

PBE-GGA PrZrHg6, relaxed; SG = R-3m; formation energy = 0.208 eV per atom; energy = -1.6842 eV per atom
1.0
2.945 1.700 8.269
-2.945 1.700 8.269
0.000 -3.400 8.269
Pr Zr Hg
1 1 6
Direct
0.000 0.000 0.000
0.500 0.500 0.500
0.062 0.062 0.556
0.062 0.556 0.062
0.444 0.938 0.938
0.556 0.062 0.062
0.938 0.444 0.938
0.938 0.938 0.444

PBE-GGA KBS2, relaxed; SG = R-3m; E_form (uncorrected) = -787 meV/atom; energy = -4.7942 eV per atom
1.0
2.589 1.495 6.103
-2.589 1.495 6.103
0.000 -2.990 6.103
K B S
1 1 2
Direct
0.000 0.000 0.000
0.500 0.500 0.500
0.408 0.408 0.408
0.592 0.592 0.592

PBE-GGA Na3SrAu4, relaxed; SG = Pmma; formation energy = -0.427 eV per atom; energy = -2.7710 eV per atom
1.0
10.024 0.000 0.000
0.000 7.132 0.000
0.000 0.000 5.240
Na Sr Au
6 2 8
Direct
0.000 0.000 0.000
0.250 0.000 0.401
0.250 0.500 0.459
0.500 0.000 0.000
0.750 0.000 0.599
0.750 0.500 0.541
0.000 0.500 0.000
0.500 0.500 0.000
0.000 0.231 0.500
0.000 0.769 0.500
0.250 0.224 0.893
0.250 0.776 0.893
0.500 0.231 0.500
0.500 0.769 0.500
0.750 0.224 0.107
0.750 0.776 0.107

PBE-GGA TlAg2Pd5, relaxed; SG = I4/mmm; E above lowest polymorph = 0 meV per atom; formation energy = -0.110 eV per atom; energy = -4.3641 eV per atom
1.0
-2.051 2.051 7.979
2.051 -2.051 7.979
2.051 2.051 -7.979
Tl Ag Pd
1 2 5
Direct
0.000 0.000 0.000
0.250 0.250 0.000
0.750 0.750 0.000
0.125 0.625 0.500
0.375 0.875 0.500
0.500 0.500 0.000
0.625 0.125 0.500
0.875 0.375 0.500

Question: The lowest energy belongs to which entry?
Answer: Y2Pd3Pt3

Question: Number 5 is which compound?
Answer: PrZrHg6

What did the third record say?
PBE-GGA PaSb2PbN, relaxed; SG = P4/nmm; E_form (uncorrected) = -659 meV/atom; energy = -6.6142 eV per atom
1.0
3.965 0.000 0.000
0.000 3.965 0.000
0.000 0.000 17.111
Pa Sb Pb N
2 4 2 2
Direct
0.250 0.250 0.068
0.750 0.750 0.932
0.250 0.250 0.446
0.250 0.250 0.830
0.750 0.750 0.170
0.750 0.750 0.554
0.250 0.250 0.652
0.750 0.750 0.348
0.250 0.750 0.000
0.750 0.250 0.000